## a
A geometry-optimized TmThCd structure, computed with GGA-PBE.

Values from the calculation:
* volume: 28.2 A^3/atom

Unit cell a=5.3050 b=5.3050 c=10.4074 alpha=90.00 beta=90.00 gamma=120.00
Fractional positions:
Th 0.6667 0.3333 0.0941
Cd 0.0000 0.0000 0.9798
Tm 0.3333 0.6667 0.9078
Th 0.3333 0.6667 0.5634
Cd 0.0000 0.0000 0.3253
Cd 0.0000 0.0000 0.6572
Th 0.6667 0.3333 0.7646
Tm 0.3333 0.6667 0.2425
Tm 0.6667 0.3333 0.4213

***

## b
A geometry-optimized TmThCd structure, computed with GGA-PBE.

Values from the calculation:
* volume: 31.7 A^3/atom

Unit cell a=5.1210 b=5.1210 c=5.1210 alpha=60.00 beta=60.00 gamma=60.00
Fractional positions:
Cd 0.2500 0.2500 0.2500
Tm 0.0000 0.0000 0.0000
Th 0.7500 0.7500 0.7500

***

Quick one: most stable of them? a

***

## a
A geometry-optimized YTmCd6 structure, computed with GGA-PBE.

Values from the calculation:
* volume: 23.0 A^3/atom

Unit cell a=4.8270 b=6.4287 c=6.4287 alpha=67.54 beta=90.00 gamma=90.00
Fractional positions:
Cd 0.0000 0.1900 0.6187
Y 0.5000 0.8676 0.8676
Cd 0.5000 0.3229 0.3229
Tm 0.0000 0.1328 0.1328
Cd 0.0000 0.6757 0.6757
Cd 0.5000 0.8118 0.3805
Cd 0.0000 0.6187 0.1900
Cd 0.5000 0.3805 0.8118

***

## b
A geometry-optimized YTmCd6 structure, computed with GGA-PBE.

Values from the calculation:
* volume: 22.7 A^3/atom

Unit cell a=5.0380 b=5.0380 c=7.1487 alpha=90.00 beta=90.00 gamma=90.00
Fractional positions:
Cd 0.5000 0.0000 0.2530
Y 0.5000 0.5000 0.0000
Cd 0.0000 0.5000 0.7470
Cd 0.5000 0.0000 0.7470
Cd 0.0000 0.5000 0.2530
Tm 0.0000 0.0000 0.5000
Cd 0.5000 0.5000 0.5000
Cd 0.0000 0.0000 0.0000

***

Quick one: most stable of them? a

***

## a
A geometry-optimized YTmCd6 structure, computed with GGA-PBE.

Values from the calculation:
* volume: 23.1 A^3/atom

Unit cell a=6.5574 b=6.5574 c=4.9586 alpha=90.00 beta=90.00 gamma=120.00
Fractional positions:
Cd 0.6611 0.8306 0.5000
Cd 0.1694 0.8306 0.5000
Cd 0.0097 0.5049 0.0000
Y 0.6667 0.3333 0.5000
Cd 0.4951 0.5049 0.0000
Cd 0.1694 0.3389 0.5000
Tm 0.0000 0.0000 0.0000
Cd 0.4951 0.9903 0.0000

***

## b
A geometry-optimized YTmCd6 structure, computed with GGA-PBE.

Values from the calculation:
* volume: 22.7 A^3/atom

Unit cell a=5.0381 b=7.1490 c=5.0388 alpha=90.00 beta=90.00 gamma=90.00
Fractional positions:
Cd 0.5000 0.2466 0.7541
Tm 0.0000 0.0000 0.7461
Cd 0.0000 0.7534 0.2458
Cd 0.5000 0.7534 0.7541
Cd 0.0000 0.2466 0.2458
Cd 0.5000 0.0000 0.2534
Y 0.5000 0.5000 0.2536
Cd 0.0000 0.5000 0.7471

***

Quick one: most stable of them? a

***

## a
A geometry-optimized CdW structure, computed with GGA-PBE.

Values from the calculation:
* volume: 27.1 A^3/atom

Unit cell a=4.2462 b=4.2462 c=4.2462 alpha=60.00 beta=60.00 gamma=60.00
Fractional positions:
W 0.2500 0.2500 0.2500
Cd 0.0000 0.0000 0.0000

***

## b
A geometry-optimized CdW structure, computed with GGA-PBE.

Values from the calculation:
* volume: 17.9 A^3/atom

Unit cell a=2.8834 b=2.8833 c=4.9773 alpha=90.00 beta=90.00 gamma=120.00
Fractional positions:
W 0.3333 0.6667 0.2500
Cd 0.6667 0.3333 0.7500

***

Quick one: most stable of them? b